# ZrGeW2 PBE relaxed
data_ZrGeW2
_chemical_formula_sum 'Zr4 Ge4 W8'
_symmetry_space_group_name_H-M 'I -4 2 d'
_symmetry_Int_Tables_number 122
_symmetry_space_group_name_Hall 'I -4 2bw'
_cell_length_a 7.707
_cell_length_b 7.707
_cell_length_c 5.184
_cell_angle_alpha 90.00
_cell_angle_beta 90.00
_cell_angle_gamma 90.00
loop_
_atom_site_label
_atom_site_type_symbol
_atom_site_fract_x
_atom_site_fract_y
_atom_site_fract_z
Zr1 Zr 0.000 0.000 0.000
Ge1 Ge 0.000 0.000 0.500
W1 W 0.188 0.750 0.625
# Crystal system = tetragonal
# Volume = 19.246 Å³ per atom
# DFT formation energy = 0.6555 eV/atom
# Fermi-level density of states = 0.807 states/eV/atom
# ρ = 11466 kg/m3